(1)
DFT (PBE) results for a geometry-optimized YZrBi structure. Values from VASP.

## Properties
As for the space-group type: P4/nmm, No. 129. The total energy is -6.875 eV per atom. Its density is 8.0 g/cm3. As for the energy of formation: -1.73 eV per formula unit. As for the density of states at the Fermi level: 0.903 states/eV per atom.

```
&SYSTEM
  ibrav = 0, nat = 6, ntyp = 3
/
ATOMIC_SPECIES
Y 88.91 Y.upf
Zr 91.22 Zr.upf
Bi 208.98 Bi.upf
CELL_PARAMETERS angstrom
-0.3801 4.1639 -1.3122
-3.9265 0.2498 1.9300
3.6564 2.5731 7.1059
ATOMIC_POSITIONS angstrom
Y 0.3595 2.4687 0.4119
Zr 1.8282 1.2865 3.5529
Bi -1.1107 0.7248 2.6217
Zr -0.3251 3.4934 3.8618
Bi 2.6139 4.0551 4.7930
Y 1.1436 2.3112 7.0029
```

(2)
DFT (PBE) results for a geometry-optimized CaMnCo2 structure. Values from VASP.

## Properties
As for the space-group type: I-42d, No. 122. The total energy is -5.690 eV per atom. The relative energy among the computed polymorphs comes out at 460 meV/atom. Its density is 5.4 g/cm3. As for the energy of formation: 2.62 eV per formula unit. As for the density of states at the Fermi level: 1.897 states/eV per atom.

```
&SYSTEM
  ibrav = 0, nat = 8, ntyp = 3
/
ATOMIC_SPECIES
Co 58.93 Co.upf
Ca 40.08 Ca.upf
Mn 54.94 Mn.upf
CELL_PARAMETERS angstrom
-4.4803 5.1349 0.2850
-0.5326 -0.8393 6.7478
-0.4149 3.9511 3.9058
ATOMIC_POSITIONS angstrom
Co -3.2812 4.4483 2.0179
Ca -1.7270 2.6298 7.0850
Mn 0.0000 0.0000 0.0000
Ca -2.5064 2.1478 3.5164
Co -4.7344 6.6638 9.5512
Co -2.1541 4.6324 5.0987
Mn -3.7008 5.6169 3.8536
Co -0.6859 0.7489 5.2097
```